First-principles (PBE) data for crystalline Ag2Pd3Se4 at its relaxed geometry, as listed in Alexandria via LeMat-Bulk.

The calculation puts the formation energy from raw total energies at -136.6 meV/atom. As for the crystal system: orthorhombic.

The structure belongs to space group Fmmm (No. 69); the cell edges are 5.465, 11.292 and 12.050 Å and the angles 90.00°, 90.00° and 90.00°. The asymmetric unit holds Ag at (0.000, 0.124, 0.000), Pd at (0.000, 0.000, 0.500), Pd at (0.250, 0.000, 0.250) and Se at (0.000, 0.152, 0.353).

***

First-principles (PBE) data for crystalline Ag2PdSe5 at its relaxed geometry, as listed in Alexandria via LeMat-Bulk.

The calculation puts the formation energy from raw total energies at 207.5 meV/atom. As for the crystal system: tetragonal.

The structure belongs to space group I4mm (No. 107); the cell edges are 5.374, 5.374 and 15.531 Å and the angles 90.00°, 90.00° and 90.00°. The asymmetric unit holds Ag at (0.000, 0.500, 0.000), Pd at (0.000, 0.000, 0.200), Se at (0.000, 0.000, 0.036) and Se at (0.243, 0.243, 0.806).